Material: Na2CeMoO6
Method: DFT, PBE+U
State: relaxed

Unit cell a=5.8511 b=5.8511 c=4.3750 alpha=90.00 beta=90.00 gamma=90.00
Space group P4mm (No. 99)
Asymmetric unit:
Na1 0.0000 0.5000 0.0000 [2 per cell]
Ce1 0.0000 0.0000 0.6171 [1 per cell]
Mo1 0.5000 0.5000 0.5797 [1 per cell]
O1 0.0000 0.0000 0.1314 [1 per cell]
O2 0.2733 0.2733 0.6734 [4 per cell]
O3 0.5000 0.5000 0.1753 [1 per cell]

Calculated values
Its calculated total energy is -6.73 eV per atom.